(1)
Entry from Alexandria via LeMat-Bulk: crystalline NaMn2O4 at its relaxed geometry (PBE with a Hubbard U).

Cell lengths 3.0149, 5.1517, 5.8595 Å; angles 106.96, 91.08, 93.39 degrees
With the nearest neighbours (Å) after each atom.
Fractional coordinates of all 7 atoms:
Na 0.0000 0.0000 0.0000  6 O 2.42-2.47
Mn 0.0000 0.5000 0.5000  4 O 1.94-2.02
Mn 0.5000 0.0000 0.5000  6 O 1.93-1.98
O 0.0251 0.2159 0.6753  3 Mn 1.97-2.02
O 0.4640 0.7510 0.6899  2 Mn 1.93-1.94
O 0.5360 0.2490 0.3101  2 Mn 1.93-1.94
O 0.9749 0.7841 0.3247  3 Mn 1.97-2.02

Summary:
Electronic total energy: -47.10 eV per formula unit
Calculated volume: 87 Å³ per cell


(2)
Entry from Alexandria via LeMat-Bulk: crystalline NaMnO2 at its relaxed geometry (PBE with a Hubbard U).

Cell lengths 3.0983, 3.0983, 18.6937 Å; angles 90.00, 90.00, 120.00 degrees
With the nearest neighbours (Å) after each atom.
Fractional coordinates of all 12 atoms:
Na 0.0000 0.0000 0.0000  2 O 2.10
Na 0.3333 0.6667 0.6667  2 O 2.10
Na 0.6667 0.3333 0.3333  2 O 2.10
Mn 0.0000 0.0000 0.5000  6 O 2.06
Mn 0.3333 0.6667 0.1667  6 O 2.06
Mn 0.6667 0.3333 0.8333  6 O 2.06
O 0.0000 0.0000 0.1122  3 Mn 2.06, 1 Na 2.10
O 0.0000 0.0000 0.8878  3 Mn 2.06, 1 Na 2.10
O 0.3333 0.6667 0.5544  3 Mn 2.06, 1 Na 2.10
O 0.3333 0.6667 0.7789  3 Mn 2.06, 1 Na 2.10
O 0.6667 0.3333 0.2211  3 Mn 2.06, 1 Na 2.10
O 0.6667 0.3333 0.4456  3 Mn 2.06, 1 Na 2.10

Summary:
Electronic total energy: -23.98 eV per formula unit
D(E_F): 0.39 states/eV per atom
Calculated volume: 155 Å³ per cell


(3)
Entry from Alexandria via LeMat-Bulk: crystalline Na7Mn10O24 at its relaxed geometry (PBE with a Hubbard U).

Cell lengths 6.1119, 6.1119, 15.3884 Å; angles 92.10, 92.10, 58.49 degrees
With the nearest neighbours (Å) after each atom.
Fractional coordinates of all 41 atoms:
Na 0.0000 0.0000 0.0000  6 O 2.34-2.40
Na 0.0023 0.0023 0.6239  4 O 2.14-2.16
Na 0.0143 0.0143 0.3834  4 O 2.11-2.19
Na 0.3364 0.3364 0.0405  4 O 2.24-2.33
Na 0.3572 0.3572 0.3010  4 O 2.17-2.19
Na 0.5112 0.5112 0.5097  6 O 2.18-2.36
Na 0.6639 0.6639 0.9549  4 O 2.20-2.42
Mn 0.0120 0.5060 0.5006  6 O 1.89-2.02
Mn 0.1505 0.6580 0.8242  6 O 1.90-2.03
Mn 0.1516 0.1516 0.8234  6 O 1.93-2.05
Mn 0.3156 0.3156 0.6676  6 O 1.92-2.06
Mn 0.3436 0.8497 0.1775  6 O 1.90-2.02
Mn 0.5060 0.0120 0.5006  6 O 1.89-2.02
Mn 0.6580 0.1505 0.8242  6 O 1.90-2.03
Mn 0.6883 0.6883 0.3399  6 O 1.85-2.01
Mn 0.8491 0.8491 0.1776  6 O 1.92-2.06
Mn 0.8497 0.3436 0.1775  6 O 1.90-2.02
O 0.0170 0.0170 0.2414  3 Mn 1.98-2.01, 1 Na 2.19
O 0.0339 0.4571 0.7496  3 Mn 1.96-2.02
O 0.1590 0.1590 0.1147  2 Mn 1.90
O 0.1652 0.6017 0.5912  2 Mn 1.89-1.92
O 0.1663 0.7063 0.1171  2 Mn 1.91-1.92
O 0.1835 0.1835 0.5656  3 Mn 1.97-2.06, 1 Na 2.16
O 0.2910 0.8365 0.8861  2 Mn 1.92-1.93
O 0.3230 0.3230 0.8890  3 Mn 2.03-2.05
O 0.3255 0.3255 0.4399  2 Mn 1.90
O 0.4101 0.8443 0.4133  2 Mn 1.85-1.92
O 0.4552 0.4552 0.7502  3 Mn 1.92-1.99
O 0.4571 0.0339 0.7496  3 Mn 1.96-2.02
O 0.5448 0.9652 0.2505  3 Mn 1.98-2.01, 1 Na 2.17
O 0.5477 0.5477 0.2529  3 Mn 1.97-1.99, 1 Na 2.19
O 0.6017 0.1652 0.5912  2 Mn 1.89-1.92
O 0.6769 0.6769 0.1122  3 Mn 2.02-2.06
O 0.7026 0.7026 0.5649  2 Mn 1.92
O 0.7063 0.1663 0.1171  2 Mn 1.91-1.92
O 0.8272 0.8272 0.4299  3 Mn 1.99-2.02, 1 Na 2.15
O 0.8365 0.2910 0.8861  2 Mn 1.92-1.93
O 0.8424 0.8424 0.8882  2 Mn 1.90
O 0.8443 0.4101 0.4133  2 Mn 1.85-1.92
O 0.9652 0.5448 0.2505  3 Mn 1.98-2.01, 1 Na 2.17
O 0.9833 0.9833 0.7616  3 Mn 1.97-2.00, 1 Na 2.14

Summary:
Electronic total energy: -261.33 eV per formula unit
D(E_F): 0.11 states/eV per atom
Calculated volume: 490 Å³ per cell


(4)
Entry from Alexandria via LeMat-Bulk: crystalline NaMn16O32 at its relaxed geometry (PBE with a Hubbard U).

Cell lengths 9.9303, 9.9303, 5.8843 Å; angles 90.00, 90.00, 90.00 degrees
With the nearest neighbours (Å) after each atom.
Fractional coordinates of all 49 atoms:
Na 0.0000 0.0000 0.0000  4 O 2.52
Mn 0.1506 0.3338 0.2506  6 O 1.92-1.97
Mn 0.1506 0.3338 0.7494  6 O 1.92-1.97
Mn 0.1670 0.6508 0.0000  6 O 1.92-1.97
Mn 0.1671 0.6519 0.5000  6 O 1.93-1.96
Mn 0.3338 0.8494 0.2506  6 O 1.92-1.97
Mn 0.3338 0.8494 0.7494  6 O 1.92-1.97
Mn 0.3481 0.1671 0.5000  6 O 1.93-1.96
Mn 0.3492 0.1670 0.0000  6 O 1.92-1.97
Mn 0.6508 0.8330 0.0000  6 O 1.92-1.97
Mn 0.6519 0.8329 0.5000  6 O 1.93-1.96
Mn 0.6662 0.1506 0.2506  6 O 1.92-1.97
Mn 0.6662 0.1506 0.7494  6 O 1.92-1.97
Mn 0.8329 0.3481 0.5000  6 O 1.93-1.96
Mn 0.8330 0.3492 0.0000  6 O 1.92-1.97
Mn 0.8494 0.6662 0.2506  6 O 1.92-1.97
Mn 0.8494 0.6662 0.7494  6 O 1.92-1.97
O 0.0432 0.6679 0.2498  3 Mn 1.92-1.93
O 0.0432 0.6679 0.7502  3 Mn 1.92-1.93
O 0.1534 0.2017 0.0000  3 Mn 1.97
O 0.1545 0.2041 0.5000  3 Mn 1.95-1.96
O 0.1632 0.4573 0.0000  3 Mn 1.92
O 0.1631 0.4577 0.5000  3 Mn 1.92-1.93
O 0.2017 0.8466 0.0000  3 Mn 1.97
O 0.2041 0.8455 0.5000  3 Mn 1.95-1.96
O 0.2959 0.6567 0.2497  3 Mn 1.95
O 0.2959 0.6567 0.7503  3 Mn 1.95
O 0.3321 0.0432 0.2498  3 Mn 1.92-1.93
O 0.3321 0.0432 0.7502  3 Mn 1.92-1.93
O 0.3433 0.2959 0.2497  3 Mn 1.95
O 0.3433 0.2959 0.7503  3 Mn 1.95
O 0.4573 0.8368 0.0000  3 Mn 1.92
O 0.4577 0.8369 0.5000  3 Mn 1.92-1.93
O 0.5423 0.1631 0.5000  3 Mn 1.92-1.93
O 0.5427 0.1632 0.0000  3 Mn 1.92
O 0.6567 0.7041 0.2497  3 Mn 1.95
O 0.6567 0.7041 0.7503  3 Mn 1.95
O 0.6679 0.9568 0.2498  3 Mn 1.92-1.93
O 0.6679 0.9568 0.7502  3 Mn 1.92-1.93
O 0.7041 0.3433 0.2497  3 Mn 1.95
O 0.7041 0.3433 0.7503  3 Mn 1.95
O 0.7959 0.1545 0.5000  3 Mn 1.95-1.96
O 0.7983 0.1534 0.0000  3 Mn 1.97
O 0.8369 0.5423 0.5000  3 Mn 1.92-1.93
O 0.8368 0.5427 0.0000  3 Mn 1.92
O 0.8455 0.7959 0.5000  3 Mn 1.95-1.96
O 0.8466 0.7983 0.0000  3 Mn 1.97
O 0.9568 0.3321 0.2498  3 Mn 1.92-1.93
O 0.9568 0.3321 0.7502  3 Mn 1.92-1.93

Summary:
Electronic total energy: -347.01 eV per formula unit
D(E_F): 0.15 states/eV per atom
Calculated volume: 580 Å³ per cell


(5)
Entry from Alexandria via LeMat-Bulk: crystalline NaMnO2 at its relaxed geometry (PBE with a Hubbard U).

Cell lengths 11.4193, 2.8937, 5.6931 Å; angles 90.00, 90.00, 90.00 degrees
With the nearest neighbours (Å) after each atom.
Fractional coordinates of all 16 atoms:
Na 0.1231 0.2500 0.0331  6 O 2.35-2.46
Na 0.3769 0.7500 0.5331  6 O 2.35-2.46
Na 0.6231 0.2500 0.4669  6 O 2.35-2.46
Na 0.8769 0.7500 0.9669  6 O 2.35-2.46
Mn 0.1217 0.2500 0.5274  4 O 1.95-1.96
Mn 0.3783 0.7500 0.0274  4 O 1.95-1.96
Mn 0.6217 0.2500 0.9726  4 O 1.95-1.96
Mn 0.8783 0.7500 0.4726  4 O 1.95-1.96
O 0.0521 0.7500 0.7146  2 Mn 1.96
O 0.1930 0.7500 0.3467  2 Mn 1.95
O 0.3070 0.2500 0.8467  2 Mn 1.95
O 0.4479 0.2500 0.2146  2 Mn 1.96
O 0.5521 0.7500 0.7854  2 Mn 1.96
O 0.6930 0.7500 0.1533  2 Mn 1.95
O 0.8070 0.2500 0.6533  2 Mn 1.95
O 0.9479 0.2500 0.2854  2 Mn 1.96

Summary:
Electronic total energy: -25.10 eV per formula unit
D(E_F): 0.00 states/eV per atom
Calculated volume: 188 Å³ per cell


(6)
Entry from Alexandria via LeMat-Bulk: crystalline NaMn8O16 at its relaxed geometry (PBE with a Hubbard U).

Cell lengths 9.8746, 5.9005, 13.9977 Å; angles 90.00, 134.40, 90.00 degrees
With the nearest neighbours (Å) after each atom.
Fractional coordinates of all 50 atoms:
Na 0.0000 0.1258 0.2500  4 O 2.52
Na 0.0000 0.8742 0.7500  4 O 2.52
Mn 0.1819 0.3757 0.5844  6 O 1.93-1.98
Mn 0.1819 0.6243 0.0844  6 O 1.93-1.98
Mn 0.1831 0.1255 0.0844  6 O 1.92-1.98
Mn 0.1831 0.8745 0.5844  6 O 1.92-1.98
Mn 0.4815 0.1257 0.8990  6 O 1.92-1.98
Mn 0.4815 0.8743 0.3990  6 O 1.92-1.98
Mn 0.4822 0.3754 0.4000  6 O 1.92-1.98
Mn 0.4822 0.6246 0.9000  6 O 1.92-1.98
Mn 0.5178 0.3754 0.1000  6 O 1.92-1.98
Mn 0.5178 0.6246 0.6000  6 O 1.92-1.98
Mn 0.5185 0.1257 0.6010  6 O 1.92-1.98
Mn 0.5185 0.8743 0.1010  6 O 1.92-1.98
Mn 0.8169 0.1255 0.4156  6 O 1.92-1.98
Mn 0.8169 0.8745 0.9156  6 O 1.92-1.98
Mn 0.8181 0.3757 0.9156  6 O 1.93-1.98
Mn 0.8181 0.6243 0.4156  6 O 1.93-1.98
O 0.0507 0.1248 0.4531  3 Mn 1.98
O 0.0507 0.8752 0.9531  3 Mn 1.98
O 0.0528 0.3748 0.9558  3 Mn 1.95-1.97
O 0.0528 0.6252 0.4558  3 Mn 1.95-1.97
O 0.2854 0.1248 0.7067  3 Mn 1.92-1.93
O 0.2854 0.8752 0.2067  3 Mn 1.92-1.93
O 0.2857 0.3745 0.2072  3 Mn 1.92-1.93
O 0.2857 0.6255 0.7072  3 Mn 1.92-1.93
O 0.3552 0.1248 0.4060  3 Mn 1.97-1.98
O 0.3552 0.8752 0.9060  3 Mn 1.97-1.98
O 0.3590 0.3749 0.9069  3 Mn 1.96
O 0.3590 0.6251 0.4069  3 Mn 1.96
O 0.3825 0.1248 0.0893  3 Mn 1.92-1.93
O 0.3823 0.3751 0.5897  3 Mn 1.92-1.93
O 0.3823 0.6249 0.0897  3 Mn 1.92-1.93
O 0.3825 0.8752 0.5893  3 Mn 1.92-1.93
O 0.6175 0.1248 0.4107  3 Mn 1.92-1.93
O 0.6177 0.3751 0.9103  3 Mn 1.92-1.93
O 0.6177 0.6249 0.4103  3 Mn 1.92-1.93
O 0.6175 0.8752 0.9107  3 Mn 1.92-1.93
O 0.6410 0.3749 0.5931  3 Mn 1.96
O 0.6410 0.6251 0.0931  3 Mn 1.96
O 0.6448 0.1248 0.0940  3 Mn 1.97-1.98
O 0.6448 0.8752 0.5940  3 Mn 1.97-1.98
O 0.7143 0.3745 0.2928  3 Mn 1.92-1.93
O 0.7143 0.6255 0.7928  3 Mn 1.92-1.93
O 0.7146 0.1248 0.7933  3 Mn 1.92-1.93
O 0.7146 0.8752 0.2933  3 Mn 1.92-1.93
O 0.9472 0.3748 0.5442  3 Mn 1.95-1.97
O 0.9472 0.6252 0.0442  3 Mn 1.95-1.97
O 0.9493 0.1248 0.0469  3 Mn 1.98
O 0.9493 0.8752 0.5469  3 Mn 1.98

Summary:
Electronic total energy: -176.01 eV per formula unit
D(E_F): 0.25 states/eV per atom
Calculated volume: 583 Å³ per cell